# 1
# HfMgGaNi

An optimized crystal structure of HfMgGaNi (PBE, OQMD via LeMat-Bulk).

abc: 6.382 6.382 6.382
angles: 90.00 90.00 90.00
Space group F-43m (No. 216)
One atom of each set of equivalent atoms:
Hf (0.000, 0.000, 0.000)
Mg (0.250, 0.250, 0.750)
Ga (0.250, 0.250, 0.250)
Ni (0.000, 0.000, 0.500)

* magnetic moment: 1.8 μB/cell

# 2
# HfMgGaNi

An optimized crystal structure of HfMgGaNi (PBE, OQMD via LeMat-Bulk).

abc: 6.345 6.345 6.345
angles: 90.00 90.00 90.00
Space group F-43m (No. 216)
One atom of each set of equivalent atoms:
Hf (0.000, 0.000, 0.000)
Mg (0.250, 0.250, 0.250)
Ga (0.000, 0.000, 0.500)
Ni (0.250, 0.250, 0.750)

* magnetic moment: 0.0 μB/cell

# 3
# HfGa2Mo2

An optimized crystal structure of HfGa2Mo2 (PBE, OQMD via LeMat-Bulk).

abc: 4.219 4.219 10.453
angles: 90.00 90.00 90.00
Space group I4/mmm (No. 139)
One atom of each set of equivalent atoms:
Hf (0.000, 0.000, 0.000)
Ga (0.000, 0.500, 0.250)
Mo (0.000, 0.000, 0.394)

* magnetic moment: 0.0 μB/cell

# 4
# Hf2GaMo2

An optimized crystal structure of Hf2GaMo2 (PBE, OQMD via LeMat-Bulk).

abc: 3.663 3.663 14.762
angles: 90.00 90.00 90.00
Space group I4/mmm (No. 139)
One atom of each set of equivalent atoms:
Hf (0.000, 0.000, 0.099)
Ga (0.000, 0.000, 0.500)
Mo (0.000, 0.500, 0.250)

* magnetic moment: 0.1 μB/cell

# 5
# HfGa2Mo2

An optimized crystal structure of HfGa2Mo2 (PBE, OQMD via LeMat-Bulk).

abc: 3.811 3.811 11.719
angles: 90.00 90.00 90.00
Space group I4/mmm (No. 139)
One atom of each set of equivalent atoms:
Hf (0.000, 0.000, 0.000)
Ga (0.000, 0.000, 0.402)
Mo (0.000, 0.500, 0.250)

* magnetic moment: 0.0 μB/cell

# 6
# Hf2GaMo

An optimized crystal structure of Hf2GaMo (PBE, OQMD via LeMat-Bulk).

abc: 6.617 6.617 6.617
angles: 90.00 90.00 90.00
Space group F-43m (No. 216)
One atom of each set of equivalent atoms:
Hf (0.000, 0.000, 0.000)
Hf (0.250, 0.250, 0.250)
Ga (0.000, 0.000, 0.500)
Mo (0.250, 0.250, 0.750)

* magnetic moment: 0.7 μB/cell

# 7
# HfGaMo2

An optimized crystal structure of HfGaMo2 (PBE, OQMD via LeMat-Bulk).

abc: 6.450 6.450 6.450
angles: 90.00 90.00 90.00
Space group F-43m (No. 216)
One atom of each set of equivalent atoms:
Hf (0.000, 0.000, 0.000)
Ga (0.250, 0.250, 0.750)
Mo (0.000, 0.000, 0.500)
Mo (0.250, 0.250, 0.250)

* magnetic moment: 0.0 μB/cell

# 8
# Hf2Ga3Mo4N3

An optimized crystal structure of Hf2Ga3Mo4N3 (PBE, OQMD via LeMat-Bulk).

abc: 9.379 5.448 13.443
angles: 90.00 103.14 90.00
Space group C2/c (No. 15)
One atom of each set of equivalent atoms:
Hf (0.054, 0.087, 0.396)
Ga (0.000, 0.491, 0.250)
Ga (0.202, 0.120, 0.748)
Mo (0.113, 0.434, 0.581)
Mo (0.214, 0.408, 0.919)
N (0.075, 0.226, 0.000)
N (0.250, 0.250, 0.500)

* magnetic moment: 0.0 μB/cell

# 9
# HfGaNiMo

An optimized crystal structure of HfGaNiMo (PBE, OQMD via LeMat-Bulk).

abc: 6.287 6.287 6.287
angles: 90.00 90.00 90.00
Space group F-43m (No. 216)
One atom of each set of equivalent atoms:
Hf (0.000, 0.000, 0.000)
Ga (0.000, 0.000, 0.500)
Ni (0.250, 0.250, 0.750)
Mo (0.250, 0.250, 0.250)

* magnetic moment: 1.0 μB/cell

# 10
# Hf3GaN2

An optimized crystal structure of Hf3GaN2 (PBE, OQMD via LeMat-Bulk).

abc: 3.1848 3.1848 19.2920
angles: 90.00 90.00 120.00
Space group P6_3/mmc (No. 194)
One atom of each set of equivalent atoms:
Hf (0.0000, 0.0000, 0.0000)
Hf (0.3333, 0.6667, 0.1358)
Ga (0.0000, 0.0000, 0.2500)
N (0.3333, 0.6667, 0.5674)

* magnetic moment: 0.0 μB/cell

# 11
# Hf4Nb2Ga3N3

An optimized crystal structure of Hf4Nb2Ga3N3 (PBE, OQMD via LeMat-Bulk).

abc: 9.517 5.511 14.149
angles: 90.00 102.86 90.00
Space group C2/c (No. 15)
One atom of each set of equivalent atoms:
Hf (0.114, 0.087, 0.093)
Hf (0.221, 0.082, 0.407)
Nb (0.052, 0.419, 0.914)
Ga (0.000, 0.107, 0.750)
Ga (0.153, 0.429, 0.251)
N (0.088, 0.237, 0.500)
N (0.250, 0.250, 0.000)

* magnetic moment: 0.0 μB/cell

# 12
# Hf4GaNiN2

An optimized crystal structure of Hf4GaNiN2 (PBE, OQMD via LeMat-Bulk).

abc: 3.1984 3.1984 13.4983
angles: 90.00 90.00 120.00
Space group P-6m2 (No. 187)
One atom of each set of equivalent atoms:
Hf (0.0000, 0.0000, 0.1456)
Hf (0.3333, 0.6667, 0.3362)
Ga (0.0000, 0.0000, 0.5000)
Ni (0.3333, 0.6667, 0.0000)
N (0.6667, 0.3333, 0.2423)

* magnetic moment: 0.0 μB/cell

# 13
# HfGaNO

An optimized crystal structure of HfGaNO (PBE, OQMD via LeMat-Bulk).

abc: 3.635 7.802 4.482
angles: 90.00 90.00 90.00
Space group Pmc2_1 (No. 26)
One atom of each set of equivalent atoms:
Hf (0.000, 0.136, 0.000)
Ga (0.500, 0.345, 0.500)
N (0.000, 0.126, 0.488)
O (0.500, 0.246, 0.978)

* magnetic moment: 0.0 μB/cell

# 14
# HfGaNO

An optimized crystal structure of HfGaNO (PBE, OQMD via LeMat-Bulk).

abc: 6.288 6.642 5.165
angles: 90.00 90.00 90.00
Space group Pca2_1 (No. 29)
One atom of each set of equivalent atoms:
Hf (0.079, 0.149, 0.000)
Ga (0.142, 0.669, 0.971)
N (0.097, 0.111, 0.602)
O (0.076, 0.425, 0.154)

* magnetic moment: 0.0 μB/cell

# 15
# HfGaNO

An optimized crystal structure of HfGaNO (PBE, OQMD via LeMat-Bulk).

abc: 4.007 4.007 6.681
angles: 90.00 90.00 90.00
Space group P4/nmm (No. 129, origin choice 2)
One atom of each set of equivalent atoms:
Hf (0.250, 0.750, 0.000)
Ga (0.250, 0.250, 0.391)
N (0.250, 0.250, 0.893)
O (0.250, 0.750, 0.500)

* magnetic moment: 0.0 μB/cell

# 16
# HfGaNO

An optimized crystal structure of HfGaNO (PBE, OQMD via LeMat-Bulk).

abc: 5.544 7.246 5.079
angles: 90.00 90.00 90.00
Space group Pca2_1 (No. 29)
One atom of each set of equivalent atoms:
Hf (0.047, 0.107, 0.000)
Ga (0.093, 0.601, 0.944)
N (0.079, 0.615, 0.565)
O (0.098, 0.194, 0.573)

* magnetic moment: 0.0 μB/cell

# 17
# HfGaNO

An optimized crystal structure of HfGaNO (PBE, OQMD via LeMat-Bulk).

abc: 3.382 5.410 6.596
angles: 90.00 90.00 90.00
Space group Pmc2_1 (No. 26)
One atom of each set of equivalent atoms:
Hf (0.000, 0.151, 0.000)
Ga (0.500, 0.315, 0.432)
N (0.500, 0.364, 0.057)
O (0.000, 0.121, 0.701)

* magnetic moment: 0.0 μB/cell

# 18
# HfGaNO

An optimized crystal structure of HfGaNO (PBE, OQMD via LeMat-Bulk).

abc: 3.340 3.340 8.523
angles: 90.00 90.00 90.00
Space group P4/nmm (No. 129, origin choice 2)
One atom of each set of equivalent atoms:
Hf (0.250, 0.250, 0.153)
Ga (0.250, 0.750, 0.500)
N (0.250, 0.250, 0.743)
O (0.250, 0.750, 0.000)

* magnetic moment: 0.1 μB/cell

# 19
# Hf4GaPbN2

An optimized crystal structure of Hf4GaPbN2 (PBE, OQMD via LeMat-Bulk).

abc: 3.2453 3.2453 14.4001
angles: 90.00 90.00 120.00
Space group P-6m2 (No. 187)
One atom of each set of equivalent atoms:
Hf (0.0000, 0.0000, 0.1530)
Hf (0.3333, 0.6667, 0.3265)
Ga (0.3333, 0.6667, 0.0000)
Pb (0.0000, 0.0000, 0.5000)
N (0.6667, 0.3333, 0.2382)

* magnetic moment: 0.0 μB/cell

# 20
# Hf4Ga2PtN

An optimized crystal structure of Hf4Ga2PtN (PBE, OQMD via LeMat-Bulk).

abc: 3.2112 3.2112 15.6903
angles: 90.00 90.00 120.00
Space group P-3m1 (No. 164)
One atom of each set of equivalent atoms:
Hf (0.3333, 0.6667, 0.0807)
Hf (0.3333, 0.6667, 0.3652)
Ga (0.3333, 0.6667, 0.7776)
Pt (0.0000, 0.0000, 0.5000)
N (0.0000, 0.0000, 0.0000)

* magnetic moment: 0.0 μB/cell

# 21
# Hf4GaSN2

An optimized crystal structure of Hf4GaSN2 (PBE, OQMD via LeMat-Bulk).

abc: 3.2654 3.2654 12.9074
angles: 90.00 90.00 120.00
Space group P-6m2 (No. 187)
One atom of each set of equivalent atoms:
Hf (0.0000, 0.0000, 0.1405)
Hf (0.3333, 0.6667, 0.3312)
Ga (0.0000, 0.0000, 0.5000)
S (0.3333, 0.6667, 0.0000)
N (0.6667, 0.3333, 0.2384)

* magnetic moment: 0.0 μB/cell

# 22
# Hf4GaSN2

An optimized crystal structure of Hf4GaSN2 (PBE, OQMD via LeMat-Bulk).

abc: 3.2654 3.2654 12.9074
angles: 90.00 90.00 120.00
Space group P-6m2 (No. 187)
One atom of each set of equivalent atoms:
Hf (0.0000, 0.0000, 0.1405)
Hf (0.6667, 0.3333, 0.3312)
Ga (0.0000, 0.0000, 0.5000)
S (0.6667, 0.3333, 0.0000)
N (0.3333, 0.6667, 0.2384)

* magnetic moment: 0.0 μB/cell

# 23
# Hf4GaSbN2

An optimized crystal structure of Hf4GaSbN2 (PBE, OQMD via LeMat-Bulk).

abc: 3.2777 3.2777 13.8336
angles: 90.00 90.00 120.00
Space group P-6m2 (No. 187)
One atom of each set of equivalent atoms:
Hf (0.0000, 0.0000, 0.1570)
Hf (0.3333, 0.6667, 0.3352)
Ga (0.3333, 0.6667, 0.0000)
Sb (0.0000, 0.0000, 0.5000)
N (0.6667, 0.3333, 0.2444)

* magnetic moment: 0.0 μB/cell

Record order is preserved below.
Calculated total energy: -0.37200, -0.38076, -0.53158, -0.62795, -0.56247, -0.62014, -0.64187, -0.63668, -0.54442, -0.70457, -0.64976, -0.67446, -0.59194, -0.58934, -0.56176, -0.57289, -0.58826, -0.56187, -0.65357, -0.61119, -0.68230, -0.68230, -0.66083 Ry per atom